Here is crystalline ZrP2AuO at its relaxed geometry from the Alexandria database. Energies are from PBE-GGA.

abc: 4.7685 4.7685 4.0068
angles: 90.00 90.00 90.00
Element x y z (fractional)
Zr1 0.0000 0.0000 0.0000
P1 0.0000 0.5000 0.5000
P2 0.5000 0.0000 0.5000
Au1 0.5000 0.5000 0.5000
O1 0.5000 0.5000 0.0000

Calculated values
Energy above the lowest structure with this stoichiometry   499 meV per atom
Energy relative to the elements, uncorrected   303.4 meV per atom
Theoretical density   6.67 g/cm3